(w)
PBE-GGA KRuRh, relaxed; calculated volume = 25.11 Å³ per atom; space group = No. 12
1.0
3.427 -2.970 0.000
3.427 2.970 0.000
-0.025 0.000 7.400
K Ru Rh
2 2 2
direct
0.247 0.247 0.357
0.753 0.753 0.643
0.286 0.714 0.000
0.714 0.286 0.000
0.210 0.210 0.871
0.790 0.790 0.129


(x)
PBE-GGA KRuRh, relaxed; calculated volume = 23.17 Å³ per atom; space group = No. 11
1.0
5.306 0.000 0.000
0.000 4.019 0.000
-1.185 0.000 6.519
K Ru Rh
2 2 2
direct
0.236 0.250 0.430
0.764 0.750 0.570
0.393 0.750 0.054
0.607 0.250 0.946
0.108 0.250 0.923
0.892 0.750 0.077


Preferred: (w); penalty for the next structure: 8 meV per atom.


(w)
PBE-GGA ZnTc, relaxed; calculated volume = 14.32 Å³ per atom; space group = No. 123
1.0
3.305 0.000 0.000
0.000 3.305 0.000
0.000 0.000 2.623
Zn Tc
1 1
direct
0.000 0.000 0.000
0.500 0.500 0.500


(x)
PBE-GGA ZnTc, relaxed; calculated volume = 18.02 Å³ per atom; space group = No. 194
1.0
7.909 0.000 0.000
-3.954 6.849 0.000
0.000 0.000 3.992
Zn Tc
6 6
direct
0.186 0.372 0.250
0.186 0.814 0.250
0.372 0.186 0.750
0.628 0.814 0.250
0.814 0.186 0.750
0.814 0.628 0.750
0.116 0.558 0.750
0.442 0.558 0.750
0.442 0.884 0.750
0.558 0.116 0.250
0.558 0.442 0.250
0.884 0.442 0.250


Preferred: (x); penalty for the next structure: 53 meV per atom.


(w)
PBE-GGA BeInW2, relaxed; calculated volume = 16.28 Å³ per atom; space group = No. 99
1.0
3.240 0.000 0.000
0.000 3.240 0.000
0.000 0.000 6.206
Be In W
1 1 2
direct
0.000 0.000 0.000
0.500 0.500 0.271
0.000 0.000 0.590
0.500 0.500 0.801


(x)
PBE-GGA BeInW2, relaxed; calculated volume = 16.00 Å³ per atom; space group = No. 35
1.0
1.631 -2.316 0.000
1.631 2.316 0.000
0.000 0.000 8.474
Be In W
1 1 2
direct
0.000 0.000 0.000
0.500 0.500 0.752
0.000 0.000 0.464
0.500 0.500 0.211


Preferred: (w); penalty for the next structure: 101 meV per atom.


(w)
PBE-GGA Nd5Mg2In, relaxed; calculated volume = 32.02 Å³ per atom; space group = No. 140
1.0
-4.060 4.060 7.769
4.060 -4.060 7.769
4.060 4.060 -7.769
Nd Mg In
10 4 2
direct
0.000 0.000 0.000
0.003 0.503 0.825
0.179 0.003 0.500
0.321 0.821 0.825
0.497 0.321 0.500
0.500 0.500 0.000
0.503 0.679 0.500
0.679 0.179 0.175
0.821 0.997 0.500
0.997 0.497 0.175
0.127 0.373 0.500
0.373 0.873 0.247
0.627 0.127 0.753
0.873 0.627 0.500
0.250 0.250 0.000
0.750 0.750 0.000


(x)
PBE-GGA Nd5Mg2In, relaxed; calculated volume = 30.56 Å³ per atom; space group = No. 107
1.0
-4.000 4.000 3.821
4.000 -4.000 3.821
4.000 4.000 -3.821
Nd Mg In
5 2 1
direct
0.000 0.000 0.000
0.500 0.500 0.500
0.500 0.999 0.000
0.999 0.500 0.000
0.999 0.999 0.500
0.000 0.500 0.500
0.500 0.000 0.500
0.499 0.499 0.000


Preferred: (x); penalty for the next structure: 67 meV per atom.


(w)
PBE-GGA CsHg3Pd, relaxed; calculated volume = 41.28 Å³ per atom; space group = No. 194
1.0
4.718 0.000 0.000
-2.359 4.086 0.000
0.000 0.000 21.419
Cs Hg Pd
2 6 2
direct
0.000 0.000 0.000
0.000 0.000 0.500
0.000 0.000 0.250
0.000 0.000 0.750
0.333 0.667 0.124
0.333 0.667 0.376
0.667 0.333 0.624
0.667 0.333 0.876
0.333 0.667 0.250
0.667 0.333 0.750


(x)
PBE-GGA CsHg3Pd, relaxed; calculated volume = 45.70 Å³ per atom; space group = No. 99
1.0
5.383 0.000 0.000
0.000 5.383 0.000
0.000 0.000 7.885
Cs Hg Pd
1 3 1
direct
0.000 0.000 0.000
0.000 0.000 0.533
0.000 0.500 0.323
0.500 0.000 0.323
0.500 0.500 0.293


Preferred: (x); penalty for the next structure: 44 meV per atom.


(w)
PBE-GGA Ta2FeAu, relaxed; calculated volume = 16.43 Å³ per atom; space group = No. 8
1.0
4.863 -1.550 0.000
4.863 1.550 0.000
-1.651 0.000 4.359
Ta Fe Au
2 1 1
direct
0.000 0.000 0.000
0.230 0.230 0.715
0.513 0.513 0.500
0.772 0.772 0.258


(x)
PBE-GGA Ta2FeAu, relaxed; calculated volume = 16.03 Å³ per atom; space group = No. 71
1.0
-1.840 2.140 4.073
1.840 -2.140 4.073
1.840 2.140 -4.073
Ta Fe Au
2 1 1
direct
0.236 0.236 0.000
0.764 0.764 0.000
0.000 0.500 0.500
0.500 0.000 0.500


Preferred: (x); penalty for the next structure: 74 meV per atom.


(w)
PBE-GGA Ti3PtC, relaxed; calculated volume = 14.27 Å³ per atom; space group = No. 167
1.0
3.729 2.153 2.962
-3.729 2.153 2.962
0.000 -4.306 2.962
Ti Pt C
6 2 2
direct
0.019 0.750 0.481
0.250 0.519 0.981
0.481 0.019 0.750
0.519 0.981 0.250
0.750 0.481 0.019
0.981 0.250 0.519
0.000 0.000 0.000
0.500 0.500 0.500
0.250 0.250 0.250
0.750 0.750 0.750


(x)
PBE-GGA Ti3PtC, relaxed; calculated volume = 14.95 Å³ per atom; space group = No. 166
1.0
3.936 2.273 1.392
-3.936 2.273 1.392
0.000 -4.545 1.392
Ti Pt C
3 1 1
direct
0.000 0.500 0.500
0.500 0.000 0.500
0.500 0.500 0.000
0.000 0.000 0.000
0.500 0.500 0.500


Preferred: (w); penalty for the next structure: 292 meV per atom.


(w)
PBE-GGA KFe2Ir, relaxed; calculated volume = 16.62 Å³ per atom; space group = No. 216
1.0
0.000 3.215 3.215
3.215 0.000 3.215
3.215 3.215 0.000
K Fe Ir
1 2 1
direct
0.000 0.000 0.000
0.500 0.500 0.500
0.750 0.750 0.750
0.250 0.250 0.250


(x)
PBE-GGA KFe2Ir, relaxed; calculated volume = 16.76 Å³ per atom; space group = No. 225
1.0
0.000 3.224 3.224
3.224 0.000 3.224
3.224 3.224 0.000
K Fe Ir
1 2 1
direct
0.000 0.000 0.000
0.250 0.250 0.250
0.750 0.750 0.750
0.500 0.500 0.500


Preferred: (x); penalty for the next structure: 168 meV per atom.